No. 1
CsICl at its PBEsol-relaxed geometry, computed with meta-GGA SCAN.

a b c (Å): 11.9272 11.9272 11.9272
angles (deg): 156.83 156.83 32.99
Fractional coordinates of all 6 atoms:
Cs: 0.1614 0.1614 0.0000
Cs: 0.8386 0.8386 0.0000
I: 0.4390 0.4390 0.0000
I: 0.5610 0.5610 0.0000
Cl: 0.3103 0.3103 0.0000
Cl: 0.6897 0.6897 0.0000

No. 2
CsMo2ICl at its PBEsol-relaxed geometry, computed with meta-GGA SCAN.

a b c (Å): 6.5416 6.5416 6.4274
angles (deg): 90.00 90.00 90.00
Fractional coordinates of all 5 atoms:
Cs: 0.0000 0.0000 0.0000
Mo: 0.0000 0.5000 0.0000
Mo: 0.5000 0.0000 0.0000
I: 0.0000 0.0000 0.5000
Cl: 0.5000 0.5000 0.5000

No. 3
CsMo3I3Cl4 at its PBEsol-relaxed geometry, computed with meta-GGA SCAN.

a b c (Å): 10.3518 10.3518 15.7895
angles (deg): 90.00 90.00 120.00
Fractional coordinates of all 44 atoms:
Cs: 0.0000 0.0000 0.0000
Cs: 0.0000 0.0000 0.5000
Cs: 0.3333 0.6667 0.2516
Cs: 0.6667 0.3333 0.7516
Mo: 0.1869 0.6642 0.8192
Mo: 0.1876 0.5221 0.6852
Mo: 0.3345 0.8124 0.6852
Mo: 0.3358 0.5227 0.8192
Mo: 0.4773 0.8131 0.8192
Mo: 0.4779 0.6655 0.6852
Mo: 0.5221 0.1876 0.1852
Mo: 0.5227 0.3358 0.3192
Mo: 0.6642 0.1869 0.3192
Mo: 0.6655 0.4779 0.1852
Mo: 0.8124 0.3345 0.1852
Mo: 0.8131 0.4773 0.3192
I: 0.0489 0.3559 0.0903
I: 0.0501 0.6912 0.4141
I: 0.3070 0.9511 0.0903
I: 0.3088 0.3589 0.4141
I: 0.3559 0.0489 0.5903
I: 0.3589 0.3088 0.9141
I: 0.6411 0.9499 0.4141
I: 0.6441 0.6930 0.0903
I: 0.6912 0.0501 0.9141
I: 0.6930 0.6441 0.5903
I: 0.9499 0.6411 0.9141
I: 0.9511 0.3070 0.5903
Cl: 0.0624 0.6704 0.6879
Cl: 0.0636 0.3908 0.8165
Cl: 0.3273 0.9364 0.8165
Cl: 0.3296 0.3920 0.6879
Cl: 0.3333 0.6667 0.5632
Cl: 0.3333 0.6667 0.9412
Cl: 0.3908 0.0636 0.3165
Cl: 0.3920 0.3296 0.1879
Cl: 0.6080 0.9376 0.6879
Cl: 0.6092 0.6727 0.8165
Cl: 0.6667 0.3333 0.0632
Cl: 0.6667 0.3333 0.4412
Cl: 0.6704 0.0624 0.1879
Cl: 0.6727 0.6092 0.3165
Cl: 0.9364 0.3273 0.3165
Cl: 0.9376 0.6080 0.1879

No. 4
CsTeICl2 at its PBEsol-relaxed geometry, computed with meta-GGA SCAN.

a b c (Å): 5.6342 5.6342 5.7999
angles (deg): 90.00 90.00 90.00
Fractional coordinates of all 5 atoms:
Cs: 0.0000 0.0000 0.0000
Te: 0.5000 0.5000 0.0000
I: 0.5000 0.5000 0.5000
Cl: 0.0000 0.5000 0.5000
Cl: 0.5000 0.0000 0.5000

No. 5
CsInCl2 at its PBEsol-relaxed geometry, computed with meta-GGA SCAN.

a b c (Å): 9.0942 9.0942 9.0942
angles (deg): 133.96 133.96 67.15
Fractional coordinates of all 8 atoms:
Cs: 0.0000 0.0000 0.0000
Cs: 0.7500 0.2500 0.5000
In: 0.2500 0.7500 0.5000
In: 0.5000 0.5000 0.0000
Cl: 0.1656 0.6250 0.0406
Cl: 0.3750 0.4156 0.5406
Cl: 0.5844 0.1250 0.9594
Cl: 0.8750 0.8344 0.4594

No. 6
CsRb2InCl6 at its PBEsol-relaxed geometry, computed with meta-GGA SCAN.

a b c (Å): 8.0090 8.0090 8.0090
angles (deg): 60.00 60.00 60.00
Fractional coordinates of all 10 atoms:
Cs: 0.0000 0.0000 0.0000
Rb: 0.2500 0.2500 0.2500
Rb: 0.7500 0.7500 0.7500
In: 0.5000 0.5000 0.5000
Cl: 0.2787 0.2787 0.7213
Cl: 0.2787 0.7213 0.2787
Cl: 0.2787 0.7213 0.7213
Cl: 0.7213 0.2787 0.2787
Cl: 0.7213 0.2787 0.7213
Cl: 0.7213 0.7213 0.2787

Raw formation energy per entry: -1.48 1.93 -1.01 -0.59 -1.38 -1.79 eV/atom